No. 1
CuF after structural relaxation. Source: the Alexandria database, functional PBE-GGA.

Values from the calculation:
Uncorrected formation energy = -0.917 eV/atom
Uncorrected energy = -0.1434 hartree per atom

Cell lengths 2.8268, 2.8268, 6.8162 Å; angles 90.00, 90.00, 120.00 degrees
Fractional coordinates of all 4 atoms:
Cu 0.3333 0.6667 0.0000
Cu 0.6667 0.3333 0.5000
F 0.3333 0.6667 0.7180
F 0.6667 0.3333 0.2180

No. 2
CuF after structural relaxation. Source: the Alexandria database, functional PBE-GGA.

Values from the calculation:
Uncorrected formation energy = -0.904 eV/atom
Uncorrected energy = -0.1429 hartree per atom

Cell lengths 2.8121, 2.9063, 6.1596 Å; angles 90.00, 97.98, 90.00 degrees
Fractional coordinates of all 4 atoms:
Cu 0.1430 0.2500 0.3627
Cu 0.8570 0.7500 0.6373
F 0.3297 0.7500 0.1860
F 0.6703 0.2500 0.8140

No. 3
CuF after structural relaxation. Source: the Alexandria database, functional PBE-GGA.

Values from the calculation:
Uncorrected formation energy = -0.983 eV/atom
Uncorrected energy = -0.1458 hartree per atom

Cell lengths 2.8855, 10.3531, 5.0918 Å; angles 90.00, 90.00, 90.00 degrees
Fractional coordinates of all 12 atoms:
Cu 0.2500 0.1302 0.1578
Cu 0.2500 0.3698 0.1578
Cu 0.2500 0.7500 0.1901
Cu 0.7500 0.2500 0.8099
Cu 0.7500 0.6302 0.8422
Cu 0.7500 0.8698 0.8422
F 0.2500 0.2500 0.4650
F 0.2500 0.5607 0.1996
F 0.2500 0.9393 0.1996
F 0.7500 0.0607 0.8004
F 0.7500 0.4393 0.8004
F 0.7500 0.7500 0.5350

What did the second record say?
CuF after structural relaxation. Source: the Alexandria database, functional PBE-GGA.

Values from the calculation:
Uncorrected formation energy = -0.904 eV/atom
Uncorrected energy = -0.1429 hartree per atom

Cell lengths 2.8121, 2.9063, 6.1596 Å; angles 90.00, 97.98, 90.00 degrees
Fractional coordinates of all 4 atoms:
Cu 0.1430 0.2500 0.3627
Cu 0.8570 0.7500 0.6373
F 0.3297 0.7500 0.1860
F 0.6703 0.2500 0.8140